First-principles (PBE-GGA) data for a geometry-optimized NaCd4Hg structure, as listed in the Alexandria database.

```
NaCd4Hg
1.0
-4.146 2.410 3.545
-5.232 -2.757 0.772
-1.287 -2.542 5.240
Cd Na Hg
4 1 1
Direct
0.126 0.625 0.625
0.625 0.625 0.625
0.625 0.126 0.625
0.625 0.625 0.126
0.250 0.250 0.250
0.000 0.000 0.000
```

Properties
For the formation energy, the calculation gives -0.0240 eV per atom. The raw total energy is -0.9042 eV/atom. For the volume, the calculation gives 25.0 Å³ per atom. Its total magnetization is 0.00 μB/cell.

---

First-principles (PBE-GGA) data for a geometry-optimized NaCd2Hg structure, as listed in the Alexandria database.

```
NaCd2Hg
1.0
5.125 0.000 0.000
2.563 4.438 0.000
2.563 1.479 4.185
Na Hg Cd
1 1 2
Direct
0.500 0.500 0.500
0.750 0.750 0.750
0.000 0.000 0.000
0.250 0.250 0.250
```

Properties
For the formation energy, the calculation gives -0.1274 eV per atom. The raw total energy is -0.9901 eV/atom. For the volume, the calculation gives 23.8 Å³ per atom. Its total magnetization is 0.00 μB/cell.

---

First-principles (PBE-GGA) data for a geometry-optimized Na7Cd3Hg2 structure, as listed in the Alexandria database.

```
Na7Cd3Hg2
1.0
4.731 0.000 0.000
0.000 4.640 -0.922
0.000 0.848 16.413
Na Cd Hg
7 3 2
Direct
0.000 0.000 0.000
0.500 0.079 0.158
0.000 0.421 0.842
0.000 0.579 0.158
0.000 0.286 0.572
0.500 0.921 0.842
0.000 0.714 0.428
0.500 0.350 0.701
0.500 0.500 0.000
0.500 0.650 0.299
0.000 0.148 0.297
0.000 0.852 0.703
```

Properties
For the formation energy, the calculation gives -0.0473 eV per atom. The raw total energy is -1.0958 eV/atom. For the volume, the calculation gives 30.3 Å³ per atom. Its total magnetization is 0.00 μB/cell.